1.
Computed, not measured: crystalline SrSmZnIn at its relaxed geometry at the PBE level of DFT.

Output
calculated formation energy = -0.309 eV/atom
total energy = -11.648 eV per formula unit
offset from the most stable computed form = 44 meV/atom

a = 5.477 Å, b = 5.477 Å, c = 5.477 Å
α = 60.00°, β = 60.00°, γ = 60.00°
Element x y z (fractional)
Sr 0.250 0.250 0.250
Zn 0.000 0.000 0.000
Sm 0.750 0.750 0.750
In 0.500 0.500 0.500

=====

2.
Computed, not measured: crystalline SrSmZnIn at its relaxed geometry at the PBE level of DFT.

Output
calculated formation energy = -0.352 eV/atom
total energy = -11.822 eV per formula unit
offset from the most stable computed form = 0 meV/atom

a = 3.818 Å, b = 3.818 Å, c = 7.919 Å
α = 90.00°, β = 90.00°, γ = 90.00°
Element x y z (fractional)
Sr 0.000 0.000 0.845
Sm 0.000 0.000 0.375
Zn 0.500 0.500 0.577
In 0.500 0.500 0.131